Record 1
{"formula": "AlAgMo2P", "functional": "PBE", "state": "relaxed", "dos_ef_per_ev_cell": 5.34, "crystal_system": "tetragonal", "total_energy_ry_per_atom": -0.3836, "formation_energy_ev_per_atom": 1.51, "spacegroup": "P4/mmm (123)", "cell": [[4.677, 0.000, 0.000], [0.000, 4.677, 0.000], [0.000, 0.000, 4.407]], "species": ["Al", "Ag", "Mo", "Mo", "P"], "fractional_positions": [[0.000, 0.000, 0.000], [0.500, 0.500, 0.500], [0.000, 0.500, 0.000], [0.500, 0.000, 0.000], [0.000, 0.000, 0.500]]}

Record 2
{"formula": "AlRe2AgMo", "functional": "PBE", "state": "relaxed", "dos_ef_per_ev_cell": 6.43, "crystal_system": "tetragonal", "total_energy_ry_per_atom": -0.4935, "formation_energy_ev_per_atom": 1.75, "spacegroup": "P4/mmm (123)", "cell": [[4.718, 0.000, 0.000], [0.000, 4.718, 0.000], [0.000, 0.000, 4.790]], "species": ["Al", "Re", "Re", "Ag", "Mo"], "fractional_positions": [[0.000, 0.000, 0.000], [0.000, 0.500, 0.500], [0.500, 0.000, 0.500], [0.500, 0.500, 0.000], [0.000, 0.000, 0.500]]}

Record 3
{"formula": "AlAgN2", "functional": "PBE", "state": "relaxed", "dos_ef_per_ev_cell": 3.16, "crystal_system": "trigonal", "total_energy_ry_per_atom": -0.4024, "e_form_raw_mev_per_atom": 336, "spacegroup": "R-3m (166)", "cell": [[1.487, 0.858, 6.163], [-1.487, 0.858, 6.163], [0.000, -1.717, 6.163]], "species": ["Al", "Ag", "N", "N"], "fractional_positions": [[0.000, 0.000, 0.000], [0.500, 0.500, 0.500], [0.389, 0.389, 0.389], [0.611, 0.611, 0.611]]}

Record 4
{"formula": "Al2AgN", "functional": "PBE", "state": "relaxed", "dos_ef_per_ev_cell": 0.00, "crystal_system": "tetragonal", "total_energy_ry_per_atom": -0.3713, "e_form_raw_mev_per_atom": -387, "spacegroup": "I-42d (122)", "cell": [[-2.807, 2.807, 3.836], [2.807, -2.807, 3.836], [2.807, 2.807, -3.836]], "species": ["Al", "Al", "Al", "Al", "Ag", "Ag", "N", "N"], "fractional_positions": [[0.026, 0.625, 0.901], [0.375, 0.276, 0.401], [0.724, 0.125, 0.099], [0.875, 0.974, 0.599], [0.250, 0.750, 0.500], [0.500, 0.500, 0.000], [0.000, 0.000, 0.000], [0.750, 0.250, 0.500]]}

Record 5
{"formula": "Al3AgN", "functional": "PBE", "state": "relaxed", "dos_ef_per_ev_cell": 3.23, "crystal_system": "cubic", "total_energy_ry_per_atom": -0.3268, "e_form_raw_mev_per_atom": 35, "e_above_lowest_polymorph_mev_per_atom": 0.0, "spacegroup": "Pm-3m (221)", "cell": [[4.091, 0.000, 0.000], [0.000, 4.091, 0.000], [0.000, 0.000, 4.091]], "species": ["Al", "Al", "Al", "Ag", "N"], "fractional_positions": [[0.000, 0.000, 0.500], [0.000, 0.500, 0.000], [0.500, 0.000, 0.000], [0.500, 0.500, 0.500], [0.000, 0.000, 0.000]]}

Record 6
{"formula": "AlAg3N", "functional": "PBE", "state": "relaxed", "dos_ef_per_ev_cell": 2.69, "crystal_system": "cubic", "total_energy_ry_per_atom": -0.1926, "e_form_raw_mev_per_atom": 1503, "e_above_lowest_polymorph_mev_per_atom": 813.9, "spacegroup": "Pm-3m (221)", "cell": [[4.962, 0.000, 0.000], [0.000, 4.962, 0.000], [0.000, 0.000, 4.962]], "species": ["Al", "Ag", "Ag", "Ag", "N"], "fractional_positions": [[0.000, 0.000, 0.000], [0.000, 0.000, 0.500], [0.000, 0.500, 0.000], [0.500, 0.000, 0.000], [0.500, 0.500, 0.500]]}

Record 7
{"formula": "AlAgN3", "functional": "PBE", "state": "relaxed", "dos_ef_per_ev_cell": 5.54, "crystal_system": "cubic", "total_energy_ry_per_atom": -0.2914, "e_form_raw_mev_per_atom": 2349, "spacegroup": "Pm-3m (221)", "cell": [[3.996, 0.000, 0.000], [0.000, 3.996, 0.000], [0.000, 0.000, 3.996]], "species": ["Al", "Ag", "N", "N", "N"], "fractional_positions": [[0.000, 0.000, 0.000], [0.500, 0.500, 0.500], [0.000, 0.500, 0.500], [0.500, 0.000, 0.500], [0.500, 0.500, 0.000]]}

Record 8
{"formula": "AlAgN3", "functional": "PBE", "state": "relaxed", "dos_ef_per_ev_cell": 5.62, "crystal_system": "cubic", "total_energy_ry_per_atom": -0.3742, "e_form_raw_mev_per_atom": 1223, "spacegroup": "Pm-3m (221)", "cell": [[3.781, 0.000, 0.000], [0.000, 3.781, 0.000], [0.000, 0.000, 3.781]], "species": ["Al", "Ag", "N", "N", "N"], "fractional_positions": [[0.000, 0.000, 0.000], [0.500, 0.500, 0.500], [0.000, 0.000, 0.500], [0.000, 0.500, 0.000], [0.500, 0.000, 0.000]]}

Record 9
{"formula": "AlAgN2", "functional": "PBE", "state": "relaxed", "dos_ef_per_ev_cell": 3.12, "crystal_system": "tetragonal", "total_energy_ry_per_atom": -0.4077, "e_form_raw_mev_per_atom": 265, "spacegroup": "I-42d (122)", "cell": [[-2.424, 2.424, 4.350], [2.424, -2.424, 4.350], [2.424, 2.424, -4.350]], "species": ["Al", "Al", "Ag", "Ag", "N", "N", "N", "N"], "fractional_positions": [[0.000, 0.000, 0.000], [0.750, 0.250, 0.500], [0.250, 0.750, 0.500], [0.500, 0.500, 0.000], [0.070, 0.625, 0.945], [0.375, 0.320, 0.445], [0.680, 0.125, 0.055], [0.875, 0.930, 0.555]]}

Record 10
{"formula": "Al3AgN", "functional": "PBE", "state": "relaxed", "dos_ef_per_ev_cell": 4.29, "crystal_system": "cubic", "total_energy_ry_per_atom": -0.2308, "e_form_raw_mev_per_atom": 1341, "e_above_lowest_polymorph_mev_per_atom": 1306.6, "spacegroup": "Pm-3m (221)", "cell": [[4.780, 0.000, 0.000], [0.000, 4.780, 0.000], [0.000, 0.000, 4.780]], "species": ["Al", "Al", "Al", "Ag", "N"], "fractional_positions": [[0.000, 0.000, 0.500], [0.000, 0.500, 0.000], [0.500, 0.000, 0.000], [0.000, 0.000, 0.000], [0.500, 0.500, 0.500]]}

Record 11
{"formula": "Al2AgN", "functional": "PBE", "state": "relaxed", "dos_ef_per_ev_cell": 0.28, "crystal_system": "trigonal", "total_energy_ry_per_atom": -0.3794, "e_form_raw_mev_per_atom": -496, "spacegroup": "R-3m (166)", "cell": [[1.465, 0.846, 6.779], [-1.465, 0.846, 6.779], [0.000, -1.692, 6.779]], "species": ["Al", "Al", "Ag", "N"], "fractional_positions": [[0.225, 0.225, 0.225], [0.775, 0.775, 0.775], [0.000, 0.000, 0.000], [0.500, 0.500, 0.500]]}

Record 12
{"formula": "AlAgN2", "functional": "PBE", "state": "relaxed", "dos_ef_per_ev_cell": 1.63, "crystal_system": "trigonal", "total_energy_ry_per_atom": -0.3537, "e_form_raw_mev_per_atom": 999, "spacegroup": "R-3m (166)", "cell": [[1.680, 0.970, 5.757], [-1.680, 0.970, 5.757], [0.000, -1.940, 5.757]], "species": ["Al", "Ag", "N", "N"], "fractional_positions": [[0.000, 0.000, 0.000], [0.500, 0.500, 0.500], [0.104, 0.104, 0.104], [0.896, 0.896, 0.896]]}

Record 13
{"formula": "AlAg3N", "functional": "PBE", "state": "relaxed", "dos_ef_per_ev_cell": 2.33, "crystal_system": "cubic", "total_energy_ry_per_atom": -0.2525, "e_form_raw_mev_per_atom": 689, "e_above_lowest_polymorph_mev_per_atom": 0.0, "spacegroup": "Pm-3m (221)", "cell": [[4.437, 0.000, 0.000], [0.000, 4.437, 0.000], [0.000, 0.000, 4.437]], "species": ["Al", "Ag", "Ag", "Ag", "N"], "fractional_positions": [[0.000, 0.000, 0.000], [0.000, 0.500, 0.500], [0.500, 0.000, 0.500], [0.500, 0.500, 0.000], [0.500, 0.500, 0.500]]}

Record 14
{"formula": "Na2AlAgN", "functional": "PBE", "state": "relaxed", "dos_ef_per_ev_cell": 1.55, "crystal_system": "tetragonal", "total_energy_ry_per_atom": -0.2640, "e_form_raw_mev_per_atom": -80, "spacegroup": "P4/mmm (123)", "cell": [[5.150, 0.000, 0.000], [0.000, 5.150, 0.000], [0.000, 0.000, 3.618]], "species": ["Na", "Na", "Al", "Ag", "N"], "fractional_positions": [[0.000, 0.500, 0.000], [0.500, 0.000, 0.000], [0.000, 0.000, 0.500], [0.500, 0.500, 0.500], [0.000, 0.000, 0.000]]}

Record 15
{"formula": "AlAgNO2", "functional": "PBE", "state": "relaxed", "dos_ef_per_ev_cell": 4.39, "crystal_system": "tetragonal", "total_energy_ry_per_atom": -0.3914, "e_form_raw_mev_per_atom": -357, "spacegroup": "P4/mmm (123)", "cell": [[3.680, 0.000, 0.000], [0.000, 3.680, 0.000], [0.000, 0.000, 3.955]], "species": ["Al", "Ag", "N", "O", "O"], "fractional_positions": [[0.000, 0.000, 0.000], [0.500, 0.500, 0.500], [0.000, 0.000, 0.500], [0.000, 0.500, 0.000], [0.500, 0.000, 0.000]]}

Record 16
{"formula": "AlAgNO2", "functional": "PBE", "state": "relaxed", "dos_ef_per_ev_cell": 2.39, "crystal_system": "tetragonal", "total_energy_ry_per_atom": -0.2994, "e_form_raw_mev_per_atom": 894, "spacegroup": "P4/mmm (123)", "cell": [[3.977, 0.000, 0.000], [0.000, 3.977, 0.000], [0.000, 0.000, 4.038]], "species": ["Al", "Ag", "N", "O", "O"], "fractional_positions": [[0.000, 0.000, 0.000], [0.500, 0.500, 0.500], [0.500, 0.500, 0.000], [0.000, 0.500, 0.500], [0.500, 0.000, 0.500]]}

Record 17
{"formula": "AlAgN2O", "functional": "PBE", "state": "relaxed", "dos_ef_per_ev_cell": 3.40, "crystal_system": "tetragonal", "total_energy_ry_per_atom": -0.2960, "e_form_raw_mev_per_atom": 1613, "spacegroup": "P4/mmm (123)", "cell": [[4.010, 0.000, 0.000], [0.000, 4.010, 0.000], [0.000, 0.000, 4.099]], "species": ["Al", "Ag", "N", "N", "O"], "fractional_positions": [[0.000, 0.000, 0.000], [0.500, 0.500, 0.500], [0.000, 0.500, 0.500], [0.500, 0.000, 0.500], [0.500, 0.500, 0.000]]}

Record 18
{"formula": "AlAgN2O", "functional": "PBE", "state": "relaxed", "dos_ef_per_ev_cell": 4.00, "crystal_system": "tetragonal", "total_energy_ry_per_atom": -0.3835, "e_form_raw_mev_per_atom": 423, "spacegroup": "P4/mmm (123)", "cell": [[3.888, 0.000, 0.000], [0.000, 3.888, 0.000], [0.000, 0.000, 3.686]], "species": ["Al", "Ag", "N", "N", "O"], "fractional_positions": [[0.000, 0.000, 0.000], [0.500, 0.500, 0.500], [0.000, 0.500, 0.000], [0.500, 0.000, 0.000], [0.000, 0.000, 0.500]]}

Record 19
{"formula": "Al2AgSN", "functional": "PBE", "state": "relaxed", "dos_ef_per_ev_cell": 0.26, "crystal_system": "tetragonal", "total_energy_ry_per_atom": -0.3308, "e_form_raw_mev_per_atom": 56, "spacegroup": "P4/mmm (123)", "cell": [[3.796, 0.000, 0.000], [0.000, 3.796, 0.000], [0.000, 0.000, 5.592]], "species": ["Al", "Al", "Ag", "S", "N"], "fractional_positions": [[0.000, 0.500, 0.000], [0.500, 0.000, 0.000], [0.000, 0.000, 0.500], [0.500, 0.500, 0.500], [0.000, 0.000, 0.000]]}

Record 20
{"formula": "AlAgSeN2", "functional": "PBE", "state": "relaxed", "dos_ef_per_ev_cell": 2.15, "crystal_system": "tetragonal", "total_energy_ry_per_atom": -0.2723, "e_form_raw_mev_per_atom": 1642, "e_above_lowest_polymorph_mev_per_atom": 924.5, "spacegroup": "P4/mmm (123)", "cell": [[4.007, 0.000, 0.000], [0.000, 4.007, 0.000], [0.000, 0.000, 6.002]], "species": ["Al", "Ag", "Se", "N", "N"], "fractional_positions": [[0.000, 0.000, 0.000], [0.500, 0.500, 0.500], [0.500, 0.500, 0.000], [0.000, 0.500, 0.500], [0.500, 0.000, 0.500]]}

Record 21
{"formula": "AlAgSeN2", "functional": "PBE", "state": "relaxed", "dos_ef_per_ev_cell": 2.01, "crystal_system": "tetragonal", "total_energy_ry_per_atom": -0.3402, "e_form_raw_mev_per_atom": 717, "e_above_lowest_polymorph_mev_per_atom": 0.0, "spacegroup": "P4/mmm (123)", "cell": [[3.790, 0.000, 0.000], [0.000, 3.790, 0.000], [0.000, 0.000, 5.579]], "species": ["Al", "Ag", "Se", "N", "N"], "fractional_positions": [[0.000, 0.000, 0.000], [0.500, 0.500, 0.500], [0.000, 0.000, 0.500], [0.000, 0.500, 0.000], [0.500, 0.000, 0.000]]}

Record 22
{"formula": "AlAgSn2N", "functional": "PBE", "state": "relaxed", "dos_ef_per_ev_cell": 3.17, "crystal_system": "tetragonal", "total_energy_ry_per_atom": -0.2351, "e_form_raw_mev_per_atom": 1386, "spacegroup": "P4/mmm (123)", "cell": [[5.310, 0.000, 0.000], [0.000, 5.310, 0.000], [0.000, 0.000, 4.914]], "species": ["Al", "Ag", "Sn", "Sn", "N"], "fractional_positions": [[0.000, 0.000, 0.000], [0.000, 0.000, 0.500], [0.000, 0.500, 0.000], [0.500, 0.000, 0.000], [0.500, 0.500, 0.500]]}

Record 23
{"formula": "Al2AgSnN", "functional": "PBE", "state": "relaxed", "dos_ef_per_ev_cell": 1.63, "crystal_system": "tetragonal", "total_energy_ry_per_atom": -0.3211, "e_form_raw_mev_per_atom": 164, "spacegroup": "P4/mmm (123)", "cell": [[4.007, 0.000, 0.000], [0.000, 4.007, 0.000], [0.000, 0.000, 5.314]], "species": ["Al", "Al", "Ag", "Sn", "N"], "fractional_positions": [[0.000, 0.500, 0.000], [0.500, 0.000, 0.000], [0.000, 0.000, 0.500], [0.500, 0.500, 0.500], [0.500, 0.500, 0.000]]}

Record 24
{"formula": "AlAgTe2N", "functional": "PBE", "state": "relaxed", "dos_ef_per_ev_cell": 2.88, "crystal_system": "tetragonal", "total_energy_ry_per_atom": -0.2912, "e_form_raw_mev_per_atom": 278, "e_above_lowest_polymorph_mev_per_atom": 0.0, "spacegroup": "P4/mmm (123)", "cell": [[5.795, 0.000, 0.000], [0.000, 5.795, 0.000], [0.000, 0.000, 3.408]], "species": ["Al", "Ag", "Te", "Te", "N"], "fractional_positions": [[0.000, 0.000, 0.000], [0.500, 0.500, 0.500], [0.000, 0.500, 0.000], [0.500, 0.000, 0.000], [0.000, 0.000, 0.500]]}

Record 25
{"formula": "AlAgTe2N", "functional": "PBE", "state": "relaxed", "dos_ef_per_ev_cell": 4.64, "crystal_system": "tetragonal", "total_energy_ry_per_atom": -0.2346, "e_form_raw_mev_per_atom": 1049, "e_above_lowest_polymorph_mev_per_atom": 770.6, "spacegroup": "P4/mmm (123)", "cell": [[5.649, 0.000, 0.000], [0.000, 5.649, 0.000], [0.000, 0.000, 3.904]], "species": ["Al", "Ag", "Te", "Te", "N"], "fractional_positions": [[0.000, 0.000, 0.000], [0.500, 0.500, 0.500], [0.000, 0.500, 0.500], [0.500, 0.000, 0.500], [0.500, 0.500, 0.000]]}

Record 26
{"formula": "Al2VAgN", "functional": "PBE", "state": "relaxed", "dos_ef_per_ev_cell": 1.68, "crystal_system": "tetragonal", "total_energy_ry_per_atom": -0.3835, "e_form_raw_mev_per_atom": 338, "spacegroup": "P4/mmm (123)", "cell": [[3.965, 0.000, 0.000], [0.000, 3.965, 0.000], [0.000, 0.000, 4.613]], "species": ["Al", "Al", "V", "Ag", "N"], "fractional_positions": [[0.000, 0.500, 0.000], [0.500, 0.000, 0.000], [0.000, 0.000, 0.500], [0.500, 0.500, 0.500], [0.500, 0.500, 0.000]]}

Record 27
{"formula": "YAlAgN2", "functional": "PBE", "state": "relaxed", "dos_ef_per_ev_cell": 4.28, "crystal_system": "tetragonal", "total_energy_ry_per_atom": -0.3464, "e_form_raw_mev_per_atom": 1229, "spacegroup": "P4/mmm (123)", "cell": [[4.363, 0.000, 0.000], [0.000, 4.363, 0.000], [0.000, 0.000, 4.508]], "species": ["Y", "Al", "Ag", "N", "N"], "fractional_positions": [[0.000, 0.000, 0.000], [0.500, 0.500, 0.000], [0.500, 0.500, 0.500], [0.000, 0.500, 0.500], [0.500, 0.000, 0.500]]}

Record 28
{"formula": "AlZn2AgN", "functional": "PBE", "state": "relaxed", "dos_ef_per_ev_cell": 3.38, "crystal_system": "tetragonal", "total_energy_ry_per_atom": -0.1738, "e_form_raw_mev_per_atom": 1128, "spacegroup": "P4/mmm (123)", "cell": [[5.076, 0.000, 0.000], [0.000, 5.076, 0.000], [0.000, 0.000, 3.896]], "species": ["Al", "Zn", "Zn", "Ag", "N"], "fractional_positions": [[0.000, 0.000, 0.000], [0.000, 0.500, 0.500], [0.500, 0.000, 0.500], [0.500, 0.500, 0.500], [0.500, 0.500, 0.000]]}

Record 29
{"formula": "Al2ZnAgN", "functional": "PBE", "state": "relaxed", "dos_ef_per_ev_cell": 2.41, "crystal_system": "tetragonal", "total_energy_ry_per_atom": -0.2845, "e_form_raw_mev_per_atom": 117, "spacegroup": "P4/mmm (123)", "cell": [[3.847, 0.000, 0.000], [0.000, 3.847, 0.000], [0.000, 0.000, 5.038]], "species": ["Al", "Al", "Zn", "Ag", "N"], "fractional_positions": [[0.000, 0.500, 0.000], [0.500, 0.000, 0.000], [0.000, 0.000, 0.500], [0.500, 0.500, 0.500], [0.500, 0.500, 0.000]]}